# 1
Compound: DyHo4Pu
Source: Alexandria via LeMat-Bulk
Functional: GGA-PBE
Structure: relaxed

a = 3.4855 Å, b = 6.0815 Å, c = 9.2627 Å
α = 77.45°, β = 79.21°, γ = 73.36°
Space group P-1 (No. 2)
One atom of each set of equivalent atoms:
Dy  0.0000  0.0000  0.0000 x1
Ho  0.3336  0.5035  0.8291 x2
Ho  0.3349  0.9927  0.3372 x2
Pu  0.0000  0.5000  0.5000 x1

Summary:
E (eV for the cell shown): -36.9
Crystal system: triclinic
Spin magnetization (μB per cell): 6.29
Excess energy over the best structure of this formula in the dataset (meV/atom): 0
DFT formation energy (eV/atom): 0.062

# 2
Compound: DyHo2Pu
Source: Alexandria via LeMat-Bulk
Functional: GGA-PBE
Structure: relaxed

a = 4.9429 Å, b = 4.9429 Å, c = 4.9492 Å
α = 90.00°, β = 90.00°, γ = 90.00°
Space group P4/mmm (No. 123)
One atom of each set of equivalent atoms:
Dy  0.0000  0.0000  0.0000 x1
Ho  0.0000  0.5000  0.5000 x2
Pu  0.5000  0.5000  0.0000 x1

Summary:
E (eV for the cell shown): -27.5
Crystal system: tetragonal
Spin magnetization (μB per cell): 6.24
Excess energy over the best structure of this formula in the dataset (meV/atom): 46
DFT formation energy (eV/atom): 0.137

# 3
Compound: Dy2Ho8Pu
Source: Alexandria via LeMat-Bulk
Functional: GGA-PBE
Structure: relaxed

a = 18.7614 Å, b = 6.7938 Å, c = 5.5913 Å
α = 90.00°, β = 92.42°, γ = 90.00°
Space group C2/m (No. 12)
One atom of each set of equivalent atoms:
Dy  0.2173  0.0000  0.2476 x4
Ho  0.0470  0.0000  0.2377 x4
Ho  0.1303  0.2356  0.7363 x8
Ho  0.1835  0.5000  0.2370 x4
Pu  0.0000  0.5000  0.0000 x2

Summary:
E (eV for the cell shown): -116.0
Crystal system: monoclinic
Spin magnetization (μB per cell): 12.11
Excess energy over the best structure of this formula in the dataset (meV/atom): 150
DFT formation energy (eV/atom): 0.194

# 4
Compound: Dy4Ho5Pu
Source: Alexandria via LeMat-Bulk
Functional: GGA-PBE
Structure: relaxed

a = 17.6431 Å, b = 4.9076 Å, c = 8.5881 Å
α = 90.00°, β = 117.55°, γ = 90.00°
Space group C2/m (No. 12)
One atom of each set of equivalent atoms:
Dy  0.0284  0.0000  0.2808 x4
Dy  0.1756  0.5000  0.4272 x4
Ho  0.0000  0.5000  0.0000 x2
Ho  0.1650  0.0000  0.7116 x4
Ho  0.1699  0.0000  0.1194 x4
Pu  0.0000  0.5000  0.5000 x2

Summary:
E (eV for the cell shown): -105.8
Crystal system: monoclinic
Spin magnetization (μB per cell): 12.44
Excess energy over the best structure of this formula in the dataset (meV/atom): 9
DFT formation energy (eV/atom): 0.272

# 5
Compound: Dy2HoPu
Source: Alexandria via LeMat-Bulk
Functional: GGA-PBE
Structure: relaxed

a = 3.4843 Å, b = 3.4843 Å, c = 9.9862 Å
α = 90.00°, β = 90.00°, γ = 90.00°
Space group P4/mmm (No. 123)
One atom of each set of equivalent atoms:
Dy  0.0000  0.0000  0.2459 x2
Ho  0.5000  0.5000  0.5000 x1
Pu  0.5000  0.5000  0.0000 x1

Summary:
E (eV for the cell shown): -27.7
Crystal system: tetragonal
Spin magnetization (μB per cell): 6.11
Excess energy over the best structure of this formula in the dataset (meV/atom): 4
DFT formation energy (eV/atom): 0.097

# 6
Compound: Dy3Ho8Pu2
Source: Alexandria via LeMat-Bulk
Functional: GGA-PBE
Structure: relaxed

a = 14.0349 Å, b = 8.9330 Å, c = 6.5596 Å
α = 90.00°, β = 98.85°, γ = 90.00°
Space group C2/m (No. 12)
One atom of each set of equivalent atoms:
Dy  0.0000  0.0000  0.0000 x2
Dy  0.0000  0.1708  0.5000 x4
Ho  0.0869  0.5000  0.3635 x4
Ho  0.1231  0.3163  0.9399 x8
Ho  0.2074  0.0000  0.3018 x4
Pu  0.1980  0.0000  0.7906 x4

Summary:
E (eV for the cell shown): -141.5
Crystal system: monoclinic
Spin magnetization (μB per cell): 0.14
DFT formation energy (eV/atom): 0.641